1.
GaSi2Br after structural relaxation. Source: Alexandria, functional GGA-PBE.

The value obtained for the size of the total moment is 0.0 μB/cell. For the relative energy among the computed polymorphs, the calculation gives 0.063 eV/atom. The value obtained for the uncorrected formation energy is 0.664 eV per atom.

Cell lengths 4.7717, 4.7717, 4.7717 Å; angles 60.00, 60.00, 60.00 degrees
Fractional coordinates of all 4 atoms:
Ga  0.0000  0.0000  0.0000
Si  0.2500  0.2500  0.2500
Si  0.7500  0.7500  0.7500
Br  0.5000  0.5000  0.5000

2.
Re2AgW after structural relaxation. Source: Alexandria, functional GGA-PBE.

The value obtained for the size of the total moment is 0.0 μB/cell. The calculation puts the formation energy at 0.6803 eV per atom. For the relative energy among the computed polymorphs, the calculation gives 0.370 eV/atom.

Cell lengths 4.4744, 4.4744, 4.4744 Å; angles 60.00, 60.00, 60.00 degrees
Fractional coordinates of all 4 atoms:
Re  0.2500  0.2500  0.2500
Ag  0.5000  0.5000  0.5000
Re  0.0000  0.0000  0.0000
W  0.7500  0.7500  0.7500

3.
Cs2PmBr6 after structural relaxation. Source: Alexandria, functional GGA-PBE.

The value obtained for the size of the total moment is 0.0 μB/cell. For the relative energy among the computed polymorphs, the calculation gives 0.009 eV/atom. The value obtained for the uncorrected formation energy is -1.549 eV per atom.

Cell lengths 5.3025, 8.7768, 9.7202 Å; angles 116.84, 105.79, 90.00 degrees
Fractional coordinates of all 9 atoms:
Cs  0.3323  0.3322  0.6643
Br  0.1386  0.9251  0.2775
Br  0.1386  0.3525  0.2775
Cs  0.6677  0.6678  0.3357
Br  0.8614  0.6475  0.7225
Br  0.5000  0.1930  0.0000
Br  0.8614  0.0749  0.7225
Br  0.5000  0.8070  0.0000
Pm  0.0000  0.0000  0.0000

4.
Pm3NdSn2 after structural relaxation. Source: Alexandria, functional GGA-PBE.

The value obtained for the size of the total moment is 0.0 μB/cell. The calculation puts the formation energy at -0.5762 eV per atom. For the relative energy among the computed polymorphs, the calculation gives 0.000 eV/atom.

Cell lengths 4.6274, 4.6274, 8.8150 Å; angles 90.00, 90.00, 90.00 degrees
Fractional coordinates of all 6 atoms:
Sn  0.0000  0.5000  0.2812
Pm  0.5000  0.0000  0.3511
Pm  0.0000  0.0000  0.0000
Pm  0.0000  0.5000  0.6489
Sn  0.5000  0.0000  0.7188
Nd  0.5000  0.5000  0.0000

5.
SmHoPI after structural relaxation. Source: Alexandria, functional GGA-PBE.

The value obtained for the size of the total moment is 0.0 μB/cell. The value obtained for the uncorrected formation energy is -1.324 eV per atom.

Cell lengths 4.0858, 4.0861, 7.8619 Å; angles 90.01, 105.07, 120.00 degrees
Fractional coordinates of all 4 atoms:
P  0.3116  0.5538  0.8807
Ho  0.0962  0.9460  0.0572
Sm  0.5075  0.1517  0.6745
I  0.9627  0.3793  0.3572

6.
CaPmPr2Te4 after structural relaxation. Source: Alexandria, functional GGA-PBE.

The value obtained for the size of the total moment is 0.0 μB/cell. The value obtained for the uncorrected formation energy is -1.472 eV per atom.

Cell lengths 4.4665, 7.8422, 7.8100 Å; angles 71.09, 90.00, 90.00 degrees
Fractional coordinates of all 8 atoms:
Te  0.5000  0.2569  0.7502
Pm  0.0000  0.5000  0.5000
Pr  0.5000  0.0000  0.5000
Te  0.0000  0.2577  0.2457
Te  0.5000  0.7431  0.2498
Ca  0.5000  0.5000  0.0000
Pr  0.0000  0.0000  0.0000
Te  0.0000  0.7423  0.7543

7.
Y2Hg2Pd after structural relaxation. Source: Alexandria, functional GGA-PBE.

The value obtained for the size of the total moment is 0.0 μB/cell. The calculation puts the formation energy at -0.4522 eV per atom. For the relative energy among the computed polymorphs, the calculation gives 0.000 eV/atom.

Cell lengths 7.7393, 7.7393, 4.0555 Å; angles 90.00, 90.00, 90.00 degrees
Fractional coordinates of all 10 atoms:
Pd  0.5000  0.5000  0.0000
Pd  0.0000  0.0000  0.0000
Hg  0.8644  0.6356  0.0000
Hg  0.1356  0.3644  0.0000
Y  0.8310  0.3310  0.5000
Hg  0.6356  0.1356  0.0000
Y  0.3310  0.1690  0.5000
Hg  0.3644  0.8644  0.0000
Y  0.6690  0.8310  0.5000
Y  0.1690  0.6690  0.5000

8.
Cd5Bi after structural relaxation. Source: Alexandria, functional GGA-PBE.

The value obtained for the size of the total moment is 0.0 μB/cell. The calculation puts the formation energy at 0.0349 eV per atom.

Cell lengths 4.6788, 4.6091, 7.2215 Å; angles 108.61, 90.00, 90.00 degrees
Fractional coordinates of all 6 atoms:
Cd  0.5000  0.1731  0.3462
Cd  0.5000  0.8269  0.6538
Cd  0.5000  0.5000  0.0000
Cd  0.0000  0.3270  0.6541
Cd  0.0000  0.6730  0.3459
Bi  0.0000  0.0000  0.0000